(1)
This record from Alexandria via LeMat-Bulk describes crystalline Ag2AuBr at its relaxed geometry. The functional is PBE-GGA.

Results
Raw formation energy = -1.4 meV per atom

Cell lengths 3.4891, 3.4891, 6.8015 Å; angles 90.00, 90.00, 90.00 degrees
Closest atoms and distances in Å follow each position.
Sites, in units of the cell vectors:
Ag (0.0000, 0.0000, 0.2180)  4 Au 2.88, 1 Ag 2.97, 4 Br 3.12
Ag (0.0000, 0.0000, 0.7820)  4 Au 2.88, 1 Ag 2.97, 4 Br 3.12
Au (0.5000, 0.5000, 0.0000)  8 Ag 2.88
Br (0.5000, 0.5000, 0.5000)  8 Ag 3.12, 2 Au 3.40, 4 Br 3.49



(2)
This record from Alexandria via LeMat-Bulk describes crystalline NaGe2BIr at its relaxed geometry. The functional is PBE-GGA.

Results
E_tot = -4.258 eV per atom

Cell lengths 4.6832, 4.6832, 5.4273 Å; angles 90.00, 90.00, 90.00 degrees
Closest atoms and distances in Å follow each position.
Sites, in units of the cell vectors:
Na (0.0000, 0.0000, 0.0000)  2 Ir 2.71
Ge (0.0000, 0.5000, 0.5000)  2 Ir 2.34
Ge (0.5000, 0.0000, 0.5000)  2 Ir 2.34
B (0.5000, 0.5000, 0.0000)  4 Na 3.31, 8 Ge 3.58
Ir (0.0000, 0.0000, 0.5000)  4 Ge 2.34



(3)
This record from Alexandria via LeMat-Bulk describes crystalline Tc2IrBr at its relaxed geometry. The functional is PBE-GGA.

Results
Raw formation energy = 899.7 meV per atom

Cell lengths 5.3500, 5.3500, 5.3500 Å; angles 148.12, 129.73, 60.77 degrees
Closest atoms and distances in Å follow each position.
Sites, in units of the cell vectors:
Tc (0.2319, 0.2319, 0.0000)  2 Br 2.60, 4 Tc 2.73, 2 Ir 2.88
Tc (0.7681, 0.7681, 0.0000)  2 Br 2.60, 4 Tc 2.73, 2 Ir 2.88
Ir (0.5000, 0.0000, 0.5000)  4 Br 2.71, 4 Tc 2.88, 2 Ir 2.94
Br (0.0000, 0.5000, 0.5000)  4 Tc 2.60, 4 Ir 2.71



(4)
This record from Alexandria via LeMat-Bulk describes crystalline Mg6Zn2Ga at its relaxed geometry. The functional is PBE-GGA.

Results
E_tot = -1.753 eV per atom

Cell lengths 7.8246, 7.8246, 7.8246 Å; angles 114.51, 108.85, 105.18 degrees
Closest atoms and distances in Å follow each position.
Sites, in units of the cell vectors:
Mg (0.0428, 0.8282, 0.2146)  3 Zn 2.70-2.87
Mg (0.2546, 0.5601, 0.3055)  2 Zn 2.73-2.80, 2 Ga 2.86-2.93
Mg (0.2546, 0.9490, 0.6945)  2 Zn 2.73-2.80, 2 Ga 2.86-2.93
Mg (0.2771, 0.3147, 0.5919)  3 Zn 2.85-2.86, 1 Ga 2.97, 3 Mg 3.14-3.18
Mg (0.2771, 0.6853, 0.9624)  3 Zn 2.85-2.86, 1 Ga 2.97, 3 Mg 3.14-3.18
Mg (0.3863, 0.1718, 0.2146)  3 Zn 2.70-2.87
Mg (0.6137, 0.8282, 0.7854)  3 Zn 2.70-2.87
Mg (0.7229, 0.3147, 0.0376)  3 Zn 2.85-2.86, 1 Ga 2.97, 3 Mg 3.14-3.18
Mg (0.7229, 0.6853, 0.4081)  3 Zn 2.85-2.86, 1 Ga 2.97, 3 Mg 3.14-3.18
Mg (0.7454, 0.0510, 0.3055)  2 Zn 2.73-2.80, 2 Ga 2.86-2.93
Mg (0.7454, 0.4399, 0.6945)  2 Zn 2.73-2.80, 2 Ga 2.86-2.93
Mg (0.9572, 0.1718, 0.7854)  3 Zn 2.70-2.87
Zn (0.0000, 0.1564, 0.1564)  1 Zn 2.65, 8 Mg 2.73-2.87, 1 Ga 2.91
Zn (0.0000, 0.8436, 0.8436)  1 Zn 2.65, 8 Mg 2.73-2.87, 1 Ga 2.91
Zn (0.3683, 0.3683, 0.0000)  1 Zn 2.50, 4 Mg 2.70-2.80
Zn (0.6317, 0.6317, 0.0000)  1 Zn 2.50, 4 Mg 2.70-2.80
Ga (0.0000, 0.5000, 0.5000)  2 Zn 2.91, 8 Mg 2.93-2.97
Ga (0.5000, 0.0000, 0.5000)  8 Mg 2.86-3.07



(5)
This record from Alexandria via LeMat-Bulk describes crystalline ErTh2In at its relaxed geometry. The functional is PBE-GGA.

Results
E_tot = -5.722 eV per atom

Cell lengths 4.8221, 4.8221, 5.0526 Å; angles 90.00, 90.00, 90.00 degrees
Closest atoms and distances in Å follow each position.
Sites, in units of the cell vectors:
Er (0.0000, 0.0000, 0.0000)  4 In 3.41, 8 Th 3.49
Th (0.0000, 0.5000, 0.5000)  4 Th 3.41, 4 In 3.49, 4 Er 3.49
Th (0.5000, 0.0000, 0.5000)  4 Th 3.41, 4 In 3.49, 4 Er 3.49
In (0.5000, 0.5000, 0.0000)  4 Er 3.41, 8 Th 3.49



(6)
This record from Alexandria via LeMat-Bulk describes crystalline PPd4 at its relaxed geometry. The functional is PBE-GGA.

Results
E_tot = -5.206 eV per atom

Cell lengths 4.4460, 4.4460, 4.4460 Å; angles 90.00, 90.00, 90.00 degrees
Closest atoms and distances in Å follow each position.
Sites, in units of the cell vectors:
P (0.0000, 0.0000, 0.0000)  6 Pd 2.22
Pd (0.0000, 0.0000, 0.5000)  2 P 2.22
Pd (0.0000, 0.5000, 0.0000)  2 P 2.22
Pd (0.5000, 0.0000, 0.0000)  2 P 2.22
Pd (0.5000, 0.5000, 0.5000)  12 Pd 3.14



(7)
This record from Alexandria via LeMat-Bulk describes crystalline TiCo3Os at its relaxed geometry. The functional is PBE-GGA.

Results
E_tot = -6.818 eV per atom

Cell lengths 4.3981, 4.3981, 4.3981 Å; angles 90.00, 90.00, 90.00 degrees
Closest atoms and distances in Å follow each position.
Sites, in units of the cell vectors:
Ti (0.0000, 0.0000, 0.0000)  12 Co 3.11
Co (0.0000, 0.5000, 0.5000)  2 Os 2.20
Co (0.5000, 0.0000, 0.5000)  2 Os 2.20
Co (0.5000, 0.5000, 0.0000)  2 Os 2.20
Os (0.5000, 0.5000, 0.5000)  6 Co 2.20



(8)
This record from Alexandria via LeMat-Bulk describes crystalline CsSrBr3 at its relaxed geometry. The functional is PBE-GGA.

Results
Raw formation energy = -2007.0 meV per atom

Cell lengths 9.2411, 9.2411, 9.2411 Å; angles 52.68, 52.68, 52.68 degrees
Closest atoms and distances in Å follow each position.
Sites, in units of the cell vectors:
Cs (0.1379, 0.1379, 0.1379)  6 Br 3.59-3.75
Cs (0.8621, 0.8621, 0.8621)  6 Br 3.59-3.75
Sr (0.3396, 0.3396, 0.3396)  6 Br 3.07-3.10
Sr (0.6604, 0.6604, 0.6604)  6 Br 3.07-3.10
Br (0.0615, 0.4798, 0.6838)  2 Sr 3.07-3.10
Br (0.3162, 0.9385, 0.5202)  2 Sr 3.07-3.10
Br (0.4798, 0.6838, 0.0615)  2 Sr 3.07-3.10
Br (0.5202, 0.3162, 0.9385)  2 Sr 3.07-3.10
Br (0.6838, 0.0615, 0.4798)  2 Sr 3.07-3.10
Br (0.9385, 0.5202, 0.3162)  2 Sr 3.07-3.10



Across the entries above, calculated volume takes the values 20.7 23.8 15.4 20.3 29.4 17.6 17.0 46.2 Å³ per atom, respectively.